Entry 1:
A relaxed structure of TbGdY, computed with GGA-PBE. Values from VASP.

Its total DFT energy (no corrections) is -13.495 eV for the cell shown. The space group is F-43m (216). The value obtained for the formation energy is 0.751 eV per atom. As for the total magnetization: 0.0 Bohr magnetons per cell.

Structure (Quantum ESPRESSO input):
```
&SYSTEM
  ibrav = 0, nat = 3, ntyp = 3
/
ATOMIC_SPECIES
Gd 157.25 Gd.upf
Tb 158.93 Tb.upf
Y 88.91 Y.upf
CELL_PARAMETERS angstrom
2.9473 3.2250 3.2756
-2.3391 2.3585 4.3339
1.2821 -1.6672 5.0392
ATOMIC_POSITIONS crystal
Gd 0.2500 0.2500 0.2500
Tb 0.7500 0.7500 0.7500
Y 0.0000 0.0000 0.0000
```


Entry 2:
A relaxed structure of IrOs2Au, computed with GGA-PBE. Values from VASP.

Its total DFT energy (no corrections) is -31.220 eV for the cell shown. The space group is F-43m (216). The value obtained for the formation energy is 0.838 eV per atom. As for the total magnetization: 2.0 Bohr magnetons per cell.

Structure (Quantum ESPRESSO input):
```
&SYSTEM
  ibrav = 0, nat = 4, ntyp = 3
/
ATOMIC_SPECIES
Au 196.97 Au.upf
Ir 192.22 Ir.upf
Os 190.23 Os.upf
CELL_PARAMETERS angstrom
-2.2361 -3.7735 -0.7389
-4.4395 -0.0444 0.2732
-2.4507 -0.4479 -3.6850
ATOMIC_POSITIONS crystal
Au 0.2500 0.2500 0.2500
Ir 0.5000 0.5000 0.5000
Os 0.0000 0.0000 0.0000
Os 0.7500 0.7500 0.7500
```


Entry 3:
A relaxed structure of Nd2Ta2I2O7, computed with GGA-PBE. Values from VASP.

Its total DFT energy (no corrections) is -105.569 eV for the cell shown. The space group is C2/m (12). As for the total magnetization: 0.0 Bohr magnetons per cell.

Structure (Quantum ESPRESSO input):
```
&SYSTEM
  ibrav = 0, nat = 13, ntyp = 4
/
ATOMIC_SPECIES
I 126.90 I.upf
Nd 144.24 Nd.upf
O 16.00 O.upf
Ta 180.95 Ta.upf
CELL_PARAMETERS angstrom
1.4783 2.4953 7.6610
-1.9166 0.4414 7.9520
3.4748 -5.9746 -1.6313
ATOMIC_POSITIONS crystal
I 0.6674 0.6674 0.0604
I 0.3326 0.3326 0.9396
Nd 0.3140 0.3140 0.3604
Nd 0.6860 0.6860 0.6396
O 0.0000 0.0000 0.0000
O 0.5420 0.5420 0.3315
O 0.9225 0.9225 0.3571
O 0.1697 0.1697 0.4270
O 0.8303 0.8303 0.5730
O 0.0775 0.0775 0.6429
O 0.4580 0.4580 0.6685
Ta 0.0319 0.0319 0.2954
Ta 0.9681 0.9681 0.7046
```


Entry 4:
A relaxed structure of Nd2LuAl7Cu2, computed with GGA-PBE. Values from VASP.

Its total DFT energy (no corrections) is -53.032 eV for the cell shown. The space group is R-3m (166). As for the total magnetization: 0.0 Bohr magnetons per cell.

Structure (Quantum ESPRESSO input):
```
&SYSTEM
  ibrav = 0, nat = 12, ntyp = 4
/
ATOMIC_SPECIES
Al 26.98 Al.upf
Cu 63.55 Cu.upf
Lu 174.97 Lu.upf
Nd 144.24 Nd.upf
CELL_PARAMETERS angstrom
-5.1077 5.4245 5.2781
0.1196 7.2620 5.5337
-3.0539 8.5260 1.1637
ATOMIC_POSITIONS crystal
Al 0.5793 0.5793 0.0716
Al 0.9284 0.4207 0.4207
Al 0.4207 0.9284 0.4207
Al 0.5000 0.5000 0.5000
Al 0.5793 0.0716 0.5793
Al 0.0716 0.5793 0.5793
Al 0.4207 0.4207 0.9284
Cu 0.3353 0.3353 0.3353
Cu 0.6647 0.6647 0.6647
Lu 0.0000 0.0000 0.0000
Nd 0.1414 0.1414 0.1414
Nd 0.8586 0.8586 0.8586
```


Entry 5:
A relaxed structure of HoTm3B2Pb2, computed with GGA-PBE. Values from VASP.

Its total DFT energy (no corrections) is -40.564 eV for the cell shown. The space group is P3m1 (156). As for the total magnetization: 0.1 Bohr magnetons per cell.

Structure (Quantum ESPRESSO input):
```
&SYSTEM
  ibrav = 0, nat = 8, ntyp = 4
/
ATOMIC_SPECIES
B 10.81 B.upf
Ho 164.93 Ho.upf
Pb 207.20 Pb.upf
Tm 168.93 Tm.upf
CELL_PARAMETERS angstrom
3.6516 0.0000 0.0000
-1.8258 3.1624 0.0000
0.0000 0.0000 16.4860
ATOMIC_POSITIONS crystal
B 0.6667 0.3333 0.5003
B 0.6667 0.3333 0.9988
Ho 0.0000 0.0000 0.0889
Pb 0.3333 0.6667 0.2514
Pb 0.0000 0.0000 0.7495
Tm 0.0000 0.0000 0.4123
Tm 0.3333 0.6667 0.5883
Tm 0.3333 0.6667 0.9104
```


Entry 6:
A relaxed structure of Cd2Si2As3P, computed with GGA-PBE. Values from VASP.

Its total DFT energy (no corrections) is -33.168 eV for the cell shown. The space group is C2 (5).

Structure (Quantum ESPRESSO input):
```
&SYSTEM
  ibrav = 0, nat = 8, ntyp = 4
/
ATOMIC_SPECIES
As 74.92 As.upf
Cd 112.41 Cd.upf
P 30.97 P.upf
Si 28.09 Si.upf
CELL_PARAMETERS angstrom
-6.5961 -1.8484 -0.2793
-3.8512 -2.9218 4.8616
0.9405 5.7776 0.7041
ATOMIC_POSITIONS crystal
As 0.8741 0.6261 0.2101
As 0.5821 0.4179 0.5000
As 0.3739 0.1259 0.7899
Cd 0.0050 0.2398 0.3660
Cd 0.7602 0.9950 0.6340
P 0.1679 0.8321 0.0000
Si 0.2464 0.5096 0.1203
Si 0.4904 0.7536 0.8797
```